DFT (PBE) results for K6Rb12P after structural relaxation.

Lattice parameters (Å, degrees): 11.749 11.749 11.749 78.26 78.26 78.26
Element x y z (fractional)
K1 0.124 0.825 0.825
K2 0.175 0.175 0.876
K3 0.175 0.876 0.175
K4 0.825 0.124 0.825
K5 0.825 0.825 0.124
K6 0.876 0.175 0.175
Rb1 0.137 0.137 0.476
Rb2 0.137 0.476 0.137
Rb3 0.193 0.533 0.533
Rb4 0.467 0.467 0.807
Rb5 0.467 0.807 0.467
Rb6 0.476 0.137 0.137
Rb7 0.524 0.863 0.863
Rb8 0.533 0.193 0.533
Rb9 0.533 0.533 0.193
Rb10 0.807 0.467 0.467
Rb11 0.863 0.524 0.863
Rb12 0.863 0.863 0.524
P1 0.000 0.000 0.000

* final energy: -1.2708 eV per atom
* total moment: 0.00 Bohr magnetons per cell
* SG: R-3m (166)
* density of states at the Fermi level: 14.19 states/eV/f.u.